A plane-wave DFT calculation with PBE was carried out for crystalline La2PrCu2Ge4Ir2 at its relaxed geometry.

## Properties
excess energy over the best structure of this formula in the dataset	43	meV/atom
size of the total moment	0.0	μB/f.u.
volume	20.60	Å³/atom

```
data_La2PrCu2Ge4Ir2
_chemical_formula_sum 'La4 Pr2 Cu4 Ge8 Ir4'
_space_group_name_H-M_alt 'I m m m'
_space_group_IT_number 71
_space_group_name_Hall '-I 2 2'
_cell_length_a 4.171
_cell_length_b 4.249
_cell_length_c 25.563
_cell_angle_alpha 90.00
_cell_angle_beta 90.00
_cell_angle_gamma 90.00
loop_
_atom_site_label
_atom_site_type_symbol
_atom_site_fract_x
_atom_site_fract_y
_atom_site_fract_z
_atom_site_occupancy
La1 La 0.000 0.000 0.146 1
Pr1 Pr 0.000 0.500 0.000 1
Cu1 Cu 0.000 0.500 0.250 1
Ge1 Ge 0.000 0.000 0.303 1
Ge2 Ge 0.000 0.500 0.451 1
Ir1 Ir 0.000 0.000 0.401 1
```